This record from Alexandria via LeMat-Bulk describes a relaxed structure of TiGe3B. The functional is PBE-GGA.

Geometry as CIF:
```
data_TiGe3B
_chemical_formula_sum 'Ti1 Ge3 B1'
_cell_length_a 4.379
_cell_length_b 4.379
_cell_length_c 4.379
_cell_angle_alpha 90.00
_cell_angle_beta 90.00
_cell_angle_gamma 90.00
_space_group_name_H-M_alt 'P m -3 m'
_space_group_IT_number 221
_space_group_name_Hall '-P 4 2 3'
loop_
_atom_site_label
_atom_site_fract_x
_atom_site_fract_y
_atom_site_fract_z
Ti1 0.000 0.000 0.000
Ge1 0.000 0.500 0.500
B1 0.500 0.500 0.500
```

Summary:
**E**: -4.997 eV/atom

This record from Alexandria via LeMat-Bulk describes a relaxed structure of TiGe3B. The functional is PBE-GGA.

Geometry as CIF:
```
data_TiGe3B
_chemical_formula_sum 'Ti1 Ge3 B1'
_cell_length_a 4.877
_cell_length_b 4.877
_cell_length_c 4.877
_cell_angle_alpha 90.00
_cell_angle_beta 90.00
_cell_angle_gamma 90.00
_space_group_name_H-M_alt 'P m -3 m'
_space_group_IT_number 221
_space_group_name_Hall '-P 4 2 3'
loop_
_atom_site_label
_atom_site_fract_x
_atom_site_fract_y
_atom_site_fract_z
Ti1 0.000 0.000 0.000
Ge1 0.000 0.000 0.500
B1 0.500 0.500 0.500
```

Summary:
**E**: -4.518 eV/atom

This record from Alexandria via LeMat-Bulk describes a relaxed structure of TiGeB2. The functional is PBE-GGA.

Geometry as CIF:
```
data_TiGeB2
_chemical_formula_sum 'Ti4 Ge4 B8'
_cell_length_a 5.785
_cell_length_b 5.785
_cell_length_c 5.837
_cell_angle_alpha 90.00
_cell_angle_beta 90.00
_cell_angle_gamma 90.00
_space_group_name_H-M_alt 'I -4 2 d'
_space_group_IT_number 122
_space_group_name_Hall 'I -4 2bw'
loop_
_atom_site_label
_atom_site_fract_x
_atom_site_fract_y
_atom_site_fract_z
Ti1 0.000 0.000 0.000
Ge1 0.000 0.000 0.500
B1 0.223 0.250 0.625
```

Summary:
**E**: -5.993 eV/atom

This record from Alexandria via LeMat-Bulk describes a relaxed structure of TiGeB. The functional is PBE-GGA.

Geometry as CIF:
```
data_TiGeB
_chemical_formula_sum 'Ti4 Ge4 B4'
_cell_length_a 5.272
_cell_length_b 5.160
_cell_length_c 6.713
_cell_angle_alpha 90.00
_cell_angle_beta 112.71
_cell_angle_gamma 90.00
_space_group_name_H-M_alt 'C 1 2/m 1'
_space_group_IT_number 12
loop_
_space_group_symop_operation_xyz
'x,y,z'
'-x,-y,-z'
'-x,y,-z'
'x,-y,z'
'x+1/2,y+1/2,z'
'-x+1/2,-y+1/2,-z'
'-x+1/2,y+1/2,-z'
'x+1/2,-y+1/2,z'
loop_
_atom_site_label
_atom_site_fract_x
_atom_site_fract_y
_atom_site_fract_z
Ti1 0.113 0.000 0.231
Ge1 0.157 0.500 0.320
B1 0.164 0.500 0.000
```

Summary:
**E**: -6.376 eV/atom

This record from Alexandria via LeMat-Bulk describes a relaxed structure of Ti6Ge2B. The functional is PBE-GGA.

Geometry as CIF:
```
data_Ti6Ge2B
_chemical_formula_sum 'Ti6 Ge2 B1'
_cell_length_a 6.8392
_cell_length_b 6.8392
_cell_length_c 3.3634
_cell_angle_alpha 90.00
_cell_angle_beta 90.00
_cell_angle_gamma 120.00
_space_group_name_H-M_alt 'P -6 2 m'
_space_group_IT_number 189
_space_group_name_Hall 'P -6 -2'
loop_
_atom_site_label
_atom_site_fract_x
_atom_site_fract_y
_atom_site_fract_z
Ti1 0.0000 0.3933 0.0000
Ti2 0.0000 0.7653 0.5000
Ge1 0.3333 0.6667 0.5000
B1 0.0000 0.0000 0.0000
```

Summary:
**E**: -7.655 eV/atom

This record from Alexandria via LeMat-Bulk describes a relaxed structure of Ti3GeB. The functional is PBE-GGA.

Geometry as CIF:
```
data_Ti3GeB
_chemical_formula_sum 'Ti3 Ge1 B1'
_cell_length_a 4.229
_cell_length_b 4.229
_cell_length_c 4.229
_cell_angle_alpha 90.00
_cell_angle_beta 90.00
_cell_angle_gamma 90.00
_space_group_name_H-M_alt 'P m -3 m'
_space_group_IT_number 221
_space_group_name_Hall '-P 4 2 3'
loop_
_atom_site_label
_atom_site_fract_x
_atom_site_fract_y
_atom_site_fract_z
Ti1 0.000 0.000 0.500
Ge1 0.500 0.500 0.500
B1 0.000 0.000 0.000
```

Summary:
**E**: -7.419 eV/atom

This record from Alexandria via LeMat-Bulk describes a relaxed structure of Ti4Ge2B. The functional is PBE-GGA.

Geometry as CIF:
```
data_Ti4Ge2B
_chemical_formula_sum 'Ti8 Ge4 B2'
_cell_length_a 4.102
_cell_length_b 4.102
_cell_length_c 13.537
_cell_angle_alpha 90.00
_cell_angle_beta 90.00
_cell_angle_gamma 90.00
_space_group_name_H-M_alt 'I 4/m m m'
_space_group_IT_number 139
_space_group_name_Hall '-I 4 2'
loop_
_atom_site_label
_atom_site_fract_x
_atom_site_fract_y
_atom_site_fract_z
Ti1 0.000 0.000 0.162
Ti2 0.000 0.500 0.000
Ge1 0.000 0.000 0.359
B1 0.000 0.000 0.000
```

Summary:
**E**: -7.247 eV/atom

This record from Alexandria via LeMat-Bulk describes a relaxed structure of TiGeB3. The functional is PBE-GGA.

Geometry as CIF:
```
data_TiGeB3
_chemical_formula_sum 'Ti1 Ge1 B3'
_cell_length_a 4.017
_cell_length_b 4.017
_cell_length_c 4.017
_cell_angle_alpha 90.00
_cell_angle_beta 90.00
_cell_angle_gamma 90.00
_space_group_name_H-M_alt 'P m -3 m'
_space_group_IT_number 221
_space_group_name_Hall '-P 4 2 3'
loop_
_atom_site_label
_atom_site_fract_x
_atom_site_fract_y
_atom_site_fract_z
Ti1 0.000 0.000 0.000
Ge1 0.500 0.500 0.500
B1 0.000 0.500 0.500
```

Summary:
**E**: -4.877 eV/atom

This record from Alexandria via LeMat-Bulk describes a relaxed structure of TlGeB2. The functional is PBE-GGA.

Geometry as CIF:
```
data_TlGeB2
_chemical_formula_sum 'Tl4 Ge4 B8'
_cell_length_a 5.313
_cell_length_b 5.313
_cell_length_c 9.775
_cell_angle_alpha 90.00
_cell_angle_beta 90.00
_cell_angle_gamma 90.00
_space_group_name_H-M_alt 'I -4 2 d'
_space_group_IT_number 122
_space_group_name_Hall 'I -4 2bw'
loop_
_atom_site_label
_atom_site_fract_x
_atom_site_fract_y
_atom_site_fract_z
Tl1 0.000 0.000 0.000
Ge1 0.000 0.000 0.500
B1 0.193 0.250 0.625
```

Summary:
**E**: -4.095 eV/atom

This record from Alexandria via LeMat-Bulk describes a relaxed structure of TlGeB3. The functional is PBE-GGA.

Geometry as CIF:
```
data_TlGeB3
_chemical_formula_sum 'Tl1 Ge1 B3'
_cell_length_a 4.281
_cell_length_b 4.281
_cell_length_c 4.281
_cell_angle_alpha 90.00
_cell_angle_beta 90.00
_cell_angle_gamma 90.00
_space_group_name_H-M_alt 'P m -3 m'
_space_group_IT_number 221
_space_group_name_Hall '-P 4 2 3'
loop_
_atom_site_label
_atom_site_fract_x
_atom_site_fract_y
_atom_site_fract_z
Tl1 0.000 0.000 0.000
Ge1 0.500 0.500 0.500
B1 0.000 0.500 0.500
```

Summary:
**E**: -3.611 eV/atom

This record from Alexandria via LeMat-Bulk describes a relaxed structure of TlGe2B2. The functional is PBE-GGA.

Geometry as CIF:
```
data_TlGe2B2
_chemical_formula_sum 'Tl2 Ge4 B4'
_cell_length_a 7.632
_cell_length_b 7.632
_cell_length_c 3.227
_cell_angle_alpha 90.00
_cell_angle_beta 90.00
_cell_angle_gamma 90.00
_space_group_name_H-M_alt 'P 4/m b m'
_space_group_IT_number 127
_space_group_name_Hall '-P 4 2ab'
loop_
_atom_site_label
_atom_site_fract_x
_atom_site_fract_y
_atom_site_fract_z
Tl1 0.000 0.000 0.000
Ge1 0.133 0.367 0.000
B1 0.077 0.577 0.500
```

Summary:
**E**: -3.994 eV/atom

This record from Alexandria via LeMat-Bulk describes a relaxed structure of TlGe2B2. The functional is PBE-GGA.

Geometry as CIF:
```
data_TlGe2B2
_chemical_formula_sum 'Tl2 Ge4 B4'
_cell_length_a 4.120
_cell_length_b 4.120
_cell_length_c 9.514
_cell_angle_alpha 90.00
_cell_angle_beta 90.00
_cell_angle_gamma 90.00
_space_group_name_H-M_alt 'I 4/m m m'
_space_group_IT_number 139
_space_group_name_Hall '-I 4 2'
loop_
_atom_site_label
_atom_site_fract_x
_atom_site_fract_y
_atom_site_fract_z
Tl1 0.000 0.000 0.000
Ge1 0.000 0.000 0.354
B1 0.000 0.500 0.250
```

Summary:
**E**: -4.127 eV/atom

This record from Alexandria via LeMat-Bulk describes a relaxed structure of TlGeB2. The functional is PBE-GGA.

Geometry as CIF:
```
data_TlGeB2
_chemical_formula_sum 'Tl4 Ge4 B8'
_cell_length_a 6.296
_cell_length_b 6.296
_cell_length_c 6.296
_cell_angle_alpha 90.00
_cell_angle_beta 90.00
_cell_angle_gamma 90.00
_space_group_name_H-M_alt 'F m -3 m'
_space_group_IT_number 225
_space_group_name_Hall '-F 4 2 3'
loop_
_atom_site_label
_atom_site_fract_x
_atom_site_fract_y
_atom_site_fract_z
Tl1 0.000 0.000 0.000
Ge1 0.000 0.000 0.500
B1 0.250 0.250 0.250
```

Summary:
**E**: -3.401 eV/atom